Material: Ta2NiN
Method: DFT, GGA-PBE
State: relaxed

The structure in CIF format:
```
data_Ta2NiN
_cell_length_a 5.082
_cell_length_b 5.082
_cell_length_c 10.060
_cell_angle_alpha 90.00
_cell_angle_beta 90.00
_cell_angle_gamma 90.00
_symmetry_space_group_name_H-M 'I -4 2 d'
_symmetry_Int_Tables_number 122
_symmetry_space_group_name_Hall 'I -4 2bw'
loop_
_atom_site_label
_atom_site_fract_x
_atom_site_fract_y
_atom_site_fract_z
Ta1 0.188 0.250 0.125
Ni1 0.000 0.000 0.500
N1 0.000 0.000 0.000
```

- formation energy without anion corrections (meV/atom) = -100.4
- density (Mg/m³) = 11.1

=====

Material: Ta2NiN
Method: DFT, GGA-PBE
State: relaxed

The structure in CIF format:
```
data_Ta2NiN
_cell_length_a 3.0856
_cell_length_b 3.0856
_cell_length_c 19.4128
_cell_angle_alpha 90.00
_cell_angle_beta 90.00
_cell_angle_gamma 120.00
_symmetry_space_group_name_H-M 'R -3 m'
_symmetry_Int_Tables_number 166
_symmetry_space_group_name_Hall '-R 3 2"'
loop_
_atom_site_label
_atom_site_fract_x
_atom_site_fract_y
_atom_site_fract_z
Ta1 0.0000 0.0000 0.2299
Ni1 0.0000 0.0000 0.0000
N1 0.0000 0.0000 0.5000
```

- formation energy without anion corrections (meV/atom) = -473.1
- density (Mg/m³) = 13.5

=====

Material: TaNi3N
Method: DFT, GGA-PBE
State: relaxed

The structure in CIF format:
```
data_TaNi3N
_cell_length_a 4.553
_cell_length_b 4.553
_cell_length_c 4.553
_cell_angle_alpha 90.00
_cell_angle_beta 90.00
_cell_angle_gamma 90.00
_symmetry_space_group_name_H-M 'P m -3 m'
_symmetry_Int_Tables_number 221
_symmetry_space_group_name_Hall '-P 4 2 3'
loop_
_atom_site_label
_atom_site_fract_x
_atom_site_fract_y
_atom_site_fract_z
Ta1 0.000 0.000 0.000
Ni1 0.000 0.000 0.500
N1 0.500 0.500 0.500
```

- formation energy without anion corrections (meV/atom) = 2388.6
- density (Mg/m³) = 6.5
- E above lowest polymorph (eV/atom) = 2.2189

=====

Material: TaNiN2
Method: DFT, GGA-PBE
State: relaxed

The structure in CIF format:
```
data_TaNiN2
_cell_length_a 3.1321
_cell_length_b 3.1321
_cell_length_c 17.4865
_cell_angle_alpha 90.00
_cell_angle_beta 90.00
_cell_angle_gamma 120.00
_symmetry_space_group_name_H-M 'R -3 m'
_symmetry_Int_Tables_number 166
_symmetry_space_group_name_Hall '-R 3 2"'
loop_
_atom_site_label
_atom_site_fract_x
_atom_site_fract_y
_atom_site_fract_z
Ta1 0.0000 0.0000 0.0000
Ni1 0.0000 0.0000 0.5000
N1 0.0000 0.0000 0.3949
```

- formation energy without anion corrections (meV/atom) = -430.4
- density (Mg/m³) = 9.0

=====

Material: TaNiN3
Method: DFT, GGA-PBE
State: relaxed

The structure in CIF format:
```
data_TaNiN3
_cell_length_a 3.597
_cell_length_b 3.597
_cell_length_c 3.597
_cell_angle_alpha 90.00
_cell_angle_beta 90.00
_cell_angle_gamma 90.00
_symmetry_space_group_name_H-M 'P m -3 m'
_symmetry_Int_Tables_number 221
_symmetry_space_group_name_Hall '-P 4 2 3'
loop_
_atom_site_label
_atom_site_fract_x
_atom_site_fract_y
_atom_site_fract_z
Ta1 0.000 0.000 0.000
Ni1 0.500 0.500 0.500
N1 0.000 0.500 0.500
```

- formation energy without anion corrections (meV/atom) = 881.9
- density (Mg/m³) = 10.0

=====

Material: TaNi3N
Method: DFT, GGA-PBE
State: relaxed

The structure in CIF format:
```
data_TaNi3N
_cell_length_a 3.845
_cell_length_b 3.845
_cell_length_c 3.845
_cell_angle_alpha 90.00
_cell_angle_beta 90.00
_cell_angle_gamma 90.00
_symmetry_space_group_name_H-M 'P m -3 m'
_symmetry_Int_Tables_number 221
_symmetry_space_group_name_Hall '-P 4 2 3'
loop_
_atom_site_label
_atom_site_fract_x
_atom_site_fract_y
_atom_site_fract_z
Ta1 0.000 0.000 0.000
Ni1 0.000 0.500 0.500
N1 0.500 0.500 0.500
```

- formation energy without anion corrections (meV/atom) = 169.7
- density (Mg/m³) = 10.8
- E above lowest polymorph (eV/atom) = 0.0000

=====

Material: TaNiN
Method: DFT, GGA-PBE
State: relaxed

The structure in CIF format:
```
data_TaNiN
_cell_length_a 4.929
_cell_length_b 4.947
_cell_length_c 6.377
_cell_angle_alpha 90.00
_cell_angle_beta 90.00
_cell_angle_gamma 90.00
_symmetry_space_group_name_H-M 'A e m 2'
_symmetry_Int_Tables_number 39
loop_
_symmetry_equiv_pos_as_xyz
'x,y,z'
'-x,-y,z'
'-x,y+1/2,z'
'x,-y+1/2,z'
'x,y+1/2,z+1/2'
'-x,-y+1/2,z+1/2'
'-x,y,z+1/2'
'x,-y,z+1/2'
loop_
_atom_site_label
_atom_site_fract_x
_atom_site_fract_y
_atom_site_fract_z
Ta1 0.141 0.250 0.000
Ni1 0.500 0.000 0.221
N1 0.200 0.250 0.691
```

- formation energy without anion corrections (meV/atom) = -74.4
- density (Mg/m³) = 10.8

=====

Material: TbTa2NiN4
Method: DFT, GGA-PBE
State: relaxed

The structure in CIF format:
```
data_TbTa2NiN4
_cell_length_a 3.185
_cell_length_b 10.510
_cell_length_c 10.795
_cell_angle_alpha 90.00
_cell_angle_beta 90.00
_cell_angle_gamma 90.00
_symmetry_space_group_name_H-M 'C m c m'
_symmetry_Int_Tables_number 63
_symmetry_space_group_name_Hall '-C 2c 2'
loop_
_atom_site_label
_atom_site_fract_x
_atom_site_fract_y
_atom_site_fract_z
Tb1 0.000 0.109 0.250
Ta1 0.000 0.370 0.058
Ni1 0.000 0.162 0.750
N1 0.000 0.000 0.000
N2 0.000 0.274 0.609
N3 0.000 0.452 0.250
```

- formation energy without anion corrections (meV/atom) = -1042.8
- density (Mg/m³) = 11.7